This record from Alexandria describes crystalline KMg2CoF8 at its relaxed geometry. The functional is PBE+U.

POSCAR file:
```
KMg2CoF8
1.0
3.851 -3.215 0.000
3.851 3.215 0.000
-1.377 0.000 6.936
K Mg Co F
1 2 1 8
Cartesian
0.000 0.000 0.000
2.423 0.000 5.373
3.903 0.000 1.563
-0.688 0.000 3.468
3.387 1.795 2.108
2.938 1.795 4.829
1.133 0.000 3.839
1.240 0.000 6.935
5.086 0.000 0.001
5.193 0.000 3.098
3.387 -1.795 2.108
2.938 -1.795 4.829
```

The value obtained for the uncorrected energy is -58.5 eV per cell. Its total magnetization is 4.2 μB/cell. For the density of states at the Fermi level, the calculation gives 0.00 states/eV per cell.